Record 1
## ErZrU2As5 (PBE)

Data for a relaxed ErZrU2As5 crystal.

Results
magnetic moment: 4.218 Bohr magnetons per cell
energy of formation from the pure elements: -295 meV/atom
total energy: -6.844 eV/atom

```
data_ErZrU2As5
_cell_length_a 4.8003
_cell_length_b 4.8003
_cell_length_c 10.4770
_cell_angle_alpha 90.00
_cell_angle_beta 90.00
_cell_angle_gamma 90.00
_space_group_name_H-M_alt 'P 4/m m m'
_space_group_IT_number 123
_space_group_name_Hall '-P 4 2'
loop_
_atom_site_label
_atom_site_fract_x
_atom_site_fract_y
_atom_site_fract_z
_atom_site_occupancy
Er1 0.0000 0.0000 0.0000 1
Zr1 0.0000 0.0000 0.5000 1
U1 0.5000 0.5000 0.3043 1
As1 0.0000 0.0000 0.2500 1
As2 0.0000 0.5000 0.5000 1
As3 0.5000 0.5000 0.0000 1
```

Record 2
## K3LaNd2Se6 (PBE)

Data for a relaxed K3LaNd2Se6 crystal.

Results
ΔE_f (raw): -1.78 eV per atom
magnetic moment: 0.000 Bohr magnetons per cell
total energy: -5.002 eV/atom

```
data_K3LaNd2Se6
_cell_length_a 7.5886
_cell_length_b 13.1434
_cell_length_c 8.1053
_cell_angle_alpha 90.00
_cell_angle_beta 108.19
_cell_angle_gamma 90.00
_space_group_name_H-M_alt 'C 1 2/m 1'
_space_group_IT_number 12
_space_group_name_Hall '-C 2y'
loop_
_atom_site_label
_atom_site_fract_x
_atom_site_fract_y
_atom_site_fract_z
_atom_site_occupancy
K1 0.0000 0.0000 0.0000 1
K2 0.0000 0.3334 0.0000 1
La1 0.0000 0.5000 0.5000 1
Nd1 0.0000 0.1667 0.5000 1
Se1 0.2336 0.0000 0.7113 1
Se2 0.2388 0.3316 0.7112 1
```

Record 3
## HfScTiRe2 (PBE)

Data for a relaxed HfScTiRe2 crystal.

Results
magnetic moment: 0.000 Bohr magnetons per cell
energy of formation from the pure elements: 1737 meV/atom
total energy: -8.078 eV/atom

```
data_HfScTiRe2
_cell_length_a 4.7779
_cell_length_b 4.7779
_cell_length_c 4.7771
_cell_angle_alpha 90.00
_cell_angle_beta 90.00
_cell_angle_gamma 90.00
_space_group_name_H-M_alt 'P 4/m m m'
_space_group_IT_number 123
_space_group_name_Hall '-P 4 2'
loop_
_atom_site_label
_atom_site_fract_x
_atom_site_fract_y
_atom_site_fract_z
_atom_site_occupancy
Hf1 0.0000 0.0000 0.0000 1
Sc1 0.0000 0.0000 0.5000 1
Ti1 0.5000 0.5000 0.5000 1
Re1 0.0000 0.5000 0.0000 1
```

Record 4
## TiZnGa2 (PBE)

Data for a relaxed TiZnGa2 crystal.

Results
magnetic moment: 0.000 Bohr magnetons per cell
energy of formation from the pure elements: -86 meV/atom
total energy: -3.891 eV/atom

```
data_TiZnGa2
_cell_length_a 4.0884
_cell_length_b 4.0884
_cell_length_c 13.6844
_cell_angle_alpha 90.00
_cell_angle_beta 90.00
_cell_angle_gamma 120.00
_space_group_name_H-M_alt 'R -3 m'
_space_group_IT_number 166
_space_group_name_Hall '-R 3 2"'
loop_
_atom_site_label
_atom_site_fract_x
_atom_site_fract_y
_atom_site_fract_z
_atom_site_occupancy
Ti1 0.0000 0.0000 0.0000 1
Zn1 0.0000 0.0000 0.5000 1
Ga1 0.0000 0.0000 0.2342 1
```

Record 5
## Ba5Tl2 (PBE)

Data for a relaxed Ba5Tl2 crystal.

Results
magnetic moment: 0.003 Bohr magnetons per cell
energy of formation from the pure elements: -244 meV/atom
total energy: -2.294 eV/atom

```
data_Ba5Tl2
_cell_length_a 19.6241
_cell_length_b 8.4033
_cell_length_c 8.5418
_cell_angle_alpha 90.00
_cell_angle_beta 95.33
_cell_angle_gamma 90.00
_space_group_name_H-M_alt 'C 1 2/c 1'
_space_group_IT_number 15
_space_group_name_Hall '-C 2yc'
loop_
_atom_site_label
_atom_site_fract_x
_atom_site_fract_y
_atom_site_fract_z
_atom_site_occupancy
Ba1 0.0000 0.0464 0.2500 1
Ba2 0.0885 0.3703 0.9440 1
Ba3 0.2228 0.0532 0.2966 1
Tl1 0.1099 0.2279 0.5514 1
```

Record 6
## FePOs2 (PBE)

Data for a relaxed FePOs2 crystal.

Results
magnetic moment: 1.173 Bohr magnetons per cell
energy of formation from the pure elements: 303 meV/atom
total energy: -8.781 eV/atom

```
data_FePOs2
_cell_length_a 3.6731
_cell_length_b 3.6731
_cell_length_c 7.5691
_cell_angle_alpha 90.00
_cell_angle_beta 90.00
_cell_angle_gamma 90.00
_space_group_name_H-M_alt 'I -4 m 2'
_space_group_IT_number 119
_space_group_name_Hall 'I -4 -2'
loop_
_atom_site_label
_atom_site_fract_x
_atom_site_fract_y
_atom_site_fract_z
_atom_site_occupancy
Fe1 0.0000 0.0000 0.0000 1
P1 0.0000 0.5000 0.2500 1
Os1 0.0000 0.0000 0.5000 1
Os2 0.0000 0.5000 0.7500 1
```

Record 7
## TePt3 (PBE)

Data for a relaxed TePt3 crystal.

Results
ΔE_f (raw): -0.05 eV per atom
magnetic moment: 0.000 Bohr magnetons per cell
total energy: -5.369 eV/atom

```
data_TePt3
_cell_length_a 5.4942
_cell_length_b 5.8308
_cell_length_c 4.6243
_cell_angle_alpha 90.00
_cell_angle_beta 90.00
_cell_angle_gamma 90.00
_space_group_name_H-M_alt 'C m m m'
_space_group_IT_number 65
_space_group_name_Hall '-C 2 2'
loop_
_atom_site_label
_atom_site_fract_x
_atom_site_fract_y
_atom_site_fract_z
_atom_site_occupancy
Te1 0.0000 0.0000 0.0000 1
Pt1 0.0000 0.2575 0.5000 1
Pt2 0.0000 0.5000 0.0000 1
```

Record 8
## UGa3Ru4 (PBE)

Data for a relaxed UGa3Ru4 crystal.

Results
magnetic moment: 0.000 Bohr magnetons per cell
energy of formation from the pure elements: -375 meV/atom
total energy: -7.559 eV/atom

```
data_UGa3Ru4
_cell_length_a 3.2831
_cell_length_b 4.3744
_cell_length_c 8.5080
_cell_angle_alpha 90.00
_cell_angle_beta 90.00
_cell_angle_gamma 90.00
_space_group_name_H-M_alt 'P m m m'
_space_group_IT_number 47
_space_group_name_Hall '-P 2 2'
loop_
_atom_site_label
_atom_site_fract_x
_atom_site_fract_y
_atom_site_fract_z
_atom_site_occupancy
U1 0.0000 0.0000 0.0000 1
Ga1 0.0000 0.0000 0.5000 1
Ga2 0.0000 0.5000 0.2622 1
Ru1 0.5000 0.0000 0.2506 1
Ru2 0.5000 0.5000 0.0000 1
Ru3 0.5000 0.5000 0.5000 1
```

Record 9
## ZrReCl (PBE)

Data for a relaxed ZrReCl crystal.

Results
ΔE_f (raw): -0.01 eV per atom
ΔE to the lowest computed polymorph: 0 kJ/mol of formula units
magnetic moment: 0.000 Bohr magnetons per cell
total energy: -7.624 eV/atom

```
data_ZrReCl
_cell_length_a 3.4407
_cell_length_b 4.9399
_cell_length_c 15.1724
_cell_angle_alpha 90.00
_cell_angle_beta 90.00
_cell_angle_gamma 90.00
_space_group_name_H-M_alt 'F m m 2'
_space_group_IT_number 42
_space_group_name_Hall 'F 2 -2'
loop_
_atom_site_label
_atom_site_fract_x
_atom_site_fract_y
_atom_site_fract_z
_atom_site_occupancy
Zr1 0.0000 0.0000 0.0000 1
Re1 0.0000 0.0000 0.3673 1
Cl1 0.0000 0.0000 0.6303 1
```

Record 10
## CsAlSi2O6 (PBE)

Data for a relaxed CsAlSi2O6 crystal.

Results
ΔE_f (raw): -2.83 eV per atom
magnetic moment: 0.000 Bohr magnetons per cell
total energy: -7.347 eV/atom

```
data_CsAlSi2O6
_cell_length_a 13.8969
_cell_length_b 13.8969
_cell_length_c 14.0250
_cell_angle_alpha 90.00
_cell_angle_beta 90.00
_cell_angle_gamma 90.00
_space_group_name_H-M_alt 'I 41/a c d'
_space_group_IT_number 142
loop_
_space_group_symop_operation_xyz
'x,y,z'
'-x,-y,-z'
'-y+1/4,x+3/4,z+1/4'
'y+1/4,-x+3/4,-z+1/4'
'-x+1/2,-y,z+1/2'
'x+1/2,y,-z+1/2'
'y+1/4,-x+1/4,z+3/4'
'-y+1/4,x+1/4,-z+3/4'
'x,-y,-z+1/2'
'-x,y,z+1/2'
'-y+1/4,-x+1/4,-z+1/4'
'y+1/4,x+1/4,z+1/4'
'-x+1/2,y,-z'
'x+1/2,-y,z'
'y+1/4,x+3/4,-z+3/4'
'-y+1/4,-x+3/4,z+3/4'
'x+1/2,y+1/2,z+1/2'
'-x+1/2,-y+1/2,-z+1/2'
'-y+3/4,x+1/4,z+3/4'
'y+3/4,-x+1/4,-z+3/4'
'-x,-y+1/2,z'
'x,y+1/2,-z'
'y+3/4,-x+3/4,z+1/4'
'-y+3/4,x+3/4,-z+1/4'
'x+1/2,-y+1/2,-z'
'-x+1/2,y+1/2,z'
'-y+3/4,-x+3/4,-z+3/4'
'y+3/4,x+3/4,z+3/4'
'-x,y+1/2,-z+1/2'
'x,-y+1/2,z+1/2'
'y+3/4,x+1/4,-z+1/4'
'-y+3/4,-x+1/4,z+1/4'
loop_
_atom_site_label
_atom_site_fract_x
_atom_site_fract_y
_atom_site_fract_z
_atom_site_occupancy
Cs1 0.1227 0.1273 0.1250 1
Al1 0.1618 0.0882 0.6250 1
Si1 0.0888 0.1286 0.8363 1
O1 0.0284 0.1196 0.3535 1
O2 0.1049 0.1429 0.7230 1
O3 0.1437 0.0364 0.8806 1
```

Record 11
## Nd3Al2Cd (PBE)

Data for a relaxed Nd3Al2Cd crystal.

Results
ΔE to the lowest computed polymorph: 0 kJ/mol of formula units
magnetic moment: 0.000 Bohr magnetons per cell
energy of formation from the pure elements: -344 meV/atom
total energy: -4.128 eV/atom

```
data_Nd3Al2Cd
_cell_length_a 3.5684
_cell_length_b 3.5684
_cell_length_c 12.5643
_cell_angle_alpha 90.00
_cell_angle_beta 90.00
_cell_angle_gamma 90.00
_space_group_name_H-M_alt 'P 4/m m m'
_space_group_IT_number 123
_space_group_name_Hall '-P 4 2'
loop_
_atom_site_label
_atom_site_fract_x
_atom_site_fract_y
_atom_site_fract_z
_atom_site_occupancy
Nd1 0.0000 0.0000 0.0000 1
Nd2 0.0000 0.0000 0.3213 1
Al1 0.5000 0.5000 0.1638 1
Cd1 0.5000 0.5000 0.5000 1
```

Record 12
## CePr2Ga3 (PBE)

Data for a relaxed CePr2Ga3 crystal.

Results
ΔE to the lowest computed polymorph: 0 kJ/mol of formula units
magnetic moment: 0.785 Bohr magnetons per cell
energy of formation from the pure elements: -507 meV/atom
total energy: -4.603 eV/atom

```
data_CePr2Ga3
_cell_length_a 3.6876
_cell_length_b 3.6876
_cell_length_c 11.1740
_cell_angle_alpha 90.00
_cell_angle_beta 90.00
_cell_angle_gamma 90.00
_space_group_name_H-M_alt 'P 4/m m m'
_space_group_IT_number 123
_space_group_name_Hall '-P 4 2'
loop_
_atom_site_label
_atom_site_fract_x
_atom_site_fract_y
_atom_site_fract_z
_atom_site_occupancy
Ce1 0.0000 0.0000 0.0000 1
Pr1 0.0000 0.0000 0.3322 1
Ga1 0.5000 0.5000 0.1637 1
Ga2 0.5000 0.5000 0.5000 1
```

Record 13
## Sr2Ac3Pd2 (PBE)

Data for a relaxed Sr2Ac3Pd2 crystal.

Results
magnetic moment: 0.000 Bohr magnetons per cell
energy of formation from the pure elements: -443 meV/atom
total energy: -4.168 eV/atom

```
data_Sr2Ac3Pd2
_cell_length_a 13.9042
_cell_length_b 4.2152
_cell_length_c 10.1142
_cell_angle_alpha 90.00
_cell_angle_beta 118.51
_cell_angle_gamma 90.00
_space_group_name_H-M_alt 'C 1 2/m 1'
_space_group_IT_number 12
_space_group_name_Hall '-C 2y'
loop_
_atom_site_label
_atom_site_fract_x
_atom_site_fract_y
_atom_site_fract_z
_atom_site_occupancy
Sr1 0.1714 0.0000 0.3053 1
Ac1 0.0000 0.5000 0.5000 1
Ac2 0.1205 0.5000 0.9358 1
Pd1 0.1630 0.0000 0.7474 1
```

Record 14
## NpScOs (PBE)

Data for a relaxed NpScOs crystal.

Results
magnetic moment: 12.334 Bohr magnetons per cell
energy of formation from the pure elements: 30 meV/atom
total energy: -10.138 eV/atom

```
data_NpScOs
_cell_length_a 7.4380
_cell_length_b 7.4380
_cell_length_c 3.9267
_cell_angle_alpha 90.00
_cell_angle_beta 90.00
_cell_angle_gamma 120.00
_space_group_name_H-M_alt 'P -6 2 m'
_space_group_IT_number 189
_space_group_name_Hall 'P -6 -2'
loop_
_atom_site_label
_atom_site_fract_x
_atom_site_fract_y
_atom_site_fract_z
_atom_site_occupancy
Np1 0.0000 0.4275 0.0000 1
Sc1 0.0000 0.7545 0.5000 1
Os1 0.0000 0.0000 0.0000 1
Os2 0.3333 0.6667 0.5000 1
```

Record 15
## Rb2Cd2Te3 (PBE)

Data for a relaxed Rb2Cd2Te3 crystal.

Results
ΔE_f (raw): -0.75 eV per atom
ΔE to the lowest computed polymorph: 0 kJ/mol of formula units
magnetic moment: 0.000 Bohr magnetons per cell
total energy: -2.637 eV/atom

```
data_Rb2Cd2Te3
_cell_length_a 18.5408
_cell_length_b 16.7530
_cell_length_c 8.0295
_cell_angle_alpha 90.00
_cell_angle_beta 115.61
_cell_angle_gamma 90.00
_space_group_name_H-M_alt 'C 1 2/c 1'
_space_group_IT_number 15
_space_group_name_Hall '-C 2yc'
loop_
_atom_site_label
_atom_site_fract_x
_atom_site_fract_y
_atom_site_fract_z
_atom_site_occupancy
Rb1 0.0000 0.0651 0.2500 1
Rb2 0.0000 0.2137 0.7500 1
Rb3 0.1083 0.4116 0.5848 1
Cd1 0.1908 0.2297 0.2589 1
Cd2 0.2242 0.0756 0.8016 1
Te1 0.1131 0.3738 0.0748 1
Te2 0.1451 0.2069 0.5596 1
Te3 0.1649 0.0731 0.0830 1
```

Record 16
## CuRe2W (PBE)

Data for a relaxed CuRe2W crystal.

Results
magnetic moment: 0.000 Bohr magnetons per cell
energy of formation from the pure elements: 245 meV/atom
total energy: -10.241 eV/atom

```
data_CuRe2W
_cell_length_a 3.8746
_cell_length_b 3.8746
_cell_length_c 7.7957
_cell_angle_alpha 90.00
_cell_angle_beta 90.00
_cell_angle_gamma 90.00
_space_group_name_H-M_alt 'I -4 m 2'
_space_group_IT_number 119
_space_group_name_Hall 'I -4 -2'
loop_
_atom_site_label
_atom_site_fract_x
_atom_site_fract_y
_atom_site_fract_z
_atom_site_occupancy
Cu1 0.0000 0.0000 0.0000 1
Re1 0.0000 0.0000 0.5000 1
Re2 0.0000 0.5000 0.7500 1
W1 0.0000 0.5000 0.2500 1
```

Record 17
## Sr3TaZn2O8 (PBE)

Data for a relaxed Sr3TaZn2O8 crystal.

Results
ΔE_f (raw): -2.28 eV per atom
magnetic moment: 1.088 Bohr magnetons per cell
total energy: -6.499 eV/atom

```
data_Sr3TaZn2O8
_cell_length_a 5.7311
_cell_length_b 5.7311
_cell_length_c 7.3108
_cell_angle_alpha 90.00
_cell_angle_beta 90.00
_cell_angle_gamma 120.00
_space_group_name_H-M_alt 'P -3 m 1'
_space_group_IT_number 164
_space_group_name_Hall '-P 3 2"'
loop_
_atom_site_label
_atom_site_fract_x
_atom_site_fract_y
_atom_site_fract_z
_atom_site_occupancy
Sr1 0.0000 0.0000 0.0000 1
Sr2 0.3333 0.6667 0.6317 1
Ta1 0.0000 0.0000 0.5000 1
Zn1 0.3333 0.6667 0.2017 1
O1 0.1613 0.3226 0.3382 1
O2 0.3333 0.6667 0.9502 1
```

Record 18
## CsZnBiSb (PBE)

Data for a relaxed CsZnBiSb crystal.

Results
ΔE_f (raw): -0.23 eV per atom
magnetic moment: 0.000 Bohr magnetons per cell
total energy: -2.763 eV/atom

```
data_CsZnBiSb
_cell_length_a 4.4525
_cell_length_b 4.4525
_cell_length_c 15.1129
_cell_angle_alpha 90.00
_cell_angle_beta 90.00
_cell_angle_gamma 90.00
_space_group_name_H-M_alt 'P 4/n m m'
_space_group_IT_number 129
loop_
_space_group_symop_operation_xyz
'x,y,z'
'-x,-y,-z'
'-y+1/2,x,z'
'y+1/2,-x,-z'
'-x+1/2,-y+1/2,z'
'x+1/2,y+1/2,-z'
'y,-x+1/2,z'
'-y,x+1/2,-z'
'x+1/2,-y,-z'
'-x+1/2,y,z'
'-y,-x,-z'
'y,x,z'
'-x,y+1/2,-z'
'x,-y+1/2,z'
'y+1/2,x+1/2,-z'
'-y+1/2,-x+1/2,z'
loop_
_atom_site_label
_atom_site_fract_x
_atom_site_fract_y
_atom_site_fract_z
_atom_site_occupancy
Cs1 0.2500 0.2500 0.2391 1
Zn1 0.2500 0.7500 0.5000 1
Bi1 0.2500 0.7500 0.0000 1
Sb1 0.2500 0.2500 0.6104 1
```

Record 19
## Y2Pt4Au (PBE)

Data for a relaxed Y2Pt4Au crystal.

Results
magnetic moment: 0.000 Bohr magnetons per cell
energy of formation from the pure elements: -871 meV/atom
total energy: -6.638 eV/atom

```
data_Y2Pt4Au
_cell_length_a 4.0011
_cell_length_b 4.0011
_cell_length_c 18.2549
_cell_angle_alpha 90.00
_cell_angle_beta 90.00
_cell_angle_gamma 90.00
_space_group_name_H-M_alt 'I 4/m m m'
_space_group_IT_number 139
_space_group_name_Hall '-I 4 2'
loop_
_atom_site_label
_atom_site_fract_x
_atom_site_fract_y
_atom_site_fract_z
_atom_site_occupancy
Y1 0.0000 0.0000 0.1154 1
Pt1 0.0000 0.0000 0.3556 1
Pt2 0.0000 0.5000 0.2500 1
Au1 0.0000 0.0000 0.5000 1
```

Record 20
## Mg2UAg2S6 (PBE)

Data for a relaxed Mg2UAg2S6 crystal.

Results
ΔE_f (raw): -0.92 eV per atom
magnetic moment: 0.000 Bohr magnetons per cell
total energy: -5.008 eV/atom

```
data_Mg2UAg2S6
_cell_length_a 6.6066
_cell_length_b 11.3054
_cell_length_c 6.5183
_cell_angle_alpha 90.00
_cell_angle_beta 101.36
_cell_angle_gamma 90.00
_space_group_name_H-M_alt 'C 1 2/m 1'
_space_group_IT_number 12
_space_group_name_Hall '-C 2y'
loop_
_atom_site_label
_atom_site_fract_x
_atom_site_fract_y
_atom_site_fract_z
_atom_site_occupancy
Mg1 0.0000 0.1686 0.0000 1
U1 0.0000 0.5000 0.0000 1
Ag1 0.0000 0.3682 0.5000 1
S1 0.2083 0.3334 0.2232 1
S2 0.2126 0.0000 0.2167 1
```